[1]
# SrCaIr4

A crystal of SrCaIr4 relaxed with PBEsol (SCAN, the Alexandria database).

Lattice parameters (Å, degrees): 5.3514 5.3514 5.3514 60.00 60.00 60.00
Fractional coordinates of all 6 atoms:
1 Sr 0.0000 0.0000 0.0000
2 Ca 0.7500 0.7500 0.7500
3 Ir 0.3752 0.3752 0.3752
4 Ir 0.3752 0.3752 0.8744
5 Ir 0.3752 0.8744 0.3752
6 Ir 0.8744 0.3752 0.3752

Output
Space-group type: No. 216
E_form (eV/atom): -0.459



[2]
# ZrAsRh2

A crystal of ZrAsRh2 relaxed with PBEsol (SCAN, the Alexandria database).

Lattice parameters (Å, degrees): 2.9877 2.9877 7.0132 90.00 90.00 90.00
Fractional coordinates of all 4 atoms:
1 Zr 0.0000 0.0000 0.0000
2 As 0.0000 0.0000 0.5000
3 Rh 0.5000 0.5000 0.2820
4 Rh 0.5000 0.5000 0.7180

Output
Space-group type: No. 123
E_form (eV/atom): -0.593



[3]
# ZrTa2Cd

A crystal of ZrTa2Cd relaxed with PBEsol (SCAN, the Alexandria database).

Lattice parameters (Å, degrees): 2.9202 2.9202 31.2027 90.00 90.00 120.00
Fractional coordinates of all 12 atoms:
1 Zr 0.0000 0.0000 0.0000
2 Zr 0.3333 0.6667 0.6667
3 Zr 0.6667 0.3333 0.3333
4 Ta 0.0000 0.0000 0.2476
5 Ta 0.0000 0.0000 0.5005
6 Ta 0.3333 0.6667 0.1672
7 Ta 0.3333 0.6667 0.9143
8 Ta 0.6667 0.3333 0.5809
9 Ta 0.6667 0.3333 0.8338
10 Cd 0.0000 0.0000 0.7522
11 Cd 0.3333 0.6667 0.4189
12 Cd 0.6667 0.3333 0.0856

Output
Space-group type: No. 160
E_form (eV/atom): 0.231



[4]
# BaBi3Br

A crystal of BaBi3Br relaxed with PBEsol (SCAN, the Alexandria database).

Lattice parameters (Å, degrees): 6.2350 6.2350 6.2350 90.00 90.00 90.00
Fractional coordinates of all 5 atoms:
1 Ba 0.0000 0.0000 0.0000
2 Bi 0.0000 0.0000 0.5000
3 Bi 0.0000 0.5000 0.0000
4 Bi 0.5000 0.0000 0.0000
5 Br 0.5000 0.5000 0.5000

Output
Space-group type: No. 221
Formation energy (no corrections) (meV per atom): 858



[5]
# LiFe2Co

A crystal of LiFe2Co relaxed with PBEsol (SCAN, the Alexandria database).

Lattice parameters (Å, degrees): 4.8419 8.0209 2.3723 90.00 109.92 90.00
Fractional coordinates of all 8 atoms:
1 Li 0.0000 0.0000 0.0000
2 Li 0.5000 0.5000 0.0000
3 Fe 0.2500 0.2500 0.5000
4 Fe 0.2500 0.7500 0.5000
5 Fe 0.7500 0.2500 0.5000
6 Fe 0.7500 0.7500 0.5000
7 Co 0.0000 0.5000 0.0000
8 Co 0.5000 0.0000 0.0000

Output
Space-group type: No. 12
E_form (eV/atom): 0.105
ΔE to the lowest computed polymorph (meV/atom): 0



[6]
# ZnOsCl3

A crystal of ZnOsCl3 relaxed with PBEsol (SCAN, the Alexandria database).

Lattice parameters (Å, degrees): 4.7513 4.7513 4.7513 90.00 90.00 90.00
Fractional coordinates of all 5 atoms:
1 Zn 0.0000 0.0000 0.0000
2 Os 0.5000 0.5000 0.5000
3 Cl 0.0000 0.0000 0.5000
4 Cl 0.0000 0.5000 0.0000
5 Cl 0.5000 0.0000 0.0000

Output
Space-group type: No. 221
Formation energy (no corrections) (meV per atom): 582



[7]
# Li2SbPb

A crystal of Li2SbPb relaxed with PBEsol (SCAN, the Alexandria database).

Lattice parameters (Å, degrees): 4.5665 4.5665 4.1514 90.00 90.00 90.00
Fractional coordinates of all 4 atoms:
1 Li 0.0000 0.5000 0.0000
2 Li 0.5000 0.0000 0.0000
3 Sb 0.0000 0.0000 0.5000
4 Pb 0.5000 0.5000 0.5000

Output
Space-group type: No. 123
Formation energy (no corrections) (meV per atom): -429
ΔE to the lowest computed polymorph (meV/atom): 0



[8]
# Be2CoSi

A crystal of Be2CoSi relaxed with PBEsol (SCAN, the Alexandria database).

Lattice parameters (Å, degrees): 2.8020 2.8020 4.7883 90.00 90.00 90.00
Fractional coordinates of all 4 atoms:
1 Be 0.0000 0.0000 0.0000
2 Be 0.5000 0.5000 0.2188
3 Co 0.0000 0.0000 0.4775
4 Si 0.5000 0.5000 0.7229

Output
Space-group type: No. 99
Formation energy (no corrections) (meV per atom): -198



[9]
# KMgGaNi2

A crystal of KMgGaNi2 relaxed with PBEsol (SCAN, the Alexandria database).

Lattice parameters (Å, degrees): 4.5231 4.5231 5.1999 90.00 90.00 90.00
Fractional coordinates of all 5 atoms:
1 K 0.0000 0.0000 0.0000
2 Mg 0.5000 0.5000 0.5000
3 Ga 0.0000 0.0000 0.5000
4 Ni 0.0000 0.5000 0.0000
5 Ni 0.5000 0.0000 0.0000

Output
Space-group type: No. 123
E_form (eV/atom): 1.722



[10]
# Hg3Cl2O2

A crystal of Hg3Cl2O2 relaxed with PBEsol (SCAN, the Alexandria database).

Lattice parameters (Å, degrees): 6.3279 6.9650 6.7889 90.00 113.57 90.00
Fractional coordinates of all 14 atoms:
1 Hg 0.0000 0.0000 0.0000
2 Hg 0.0000 0.5000 0.5000
3 Hg 0.4213 0.1329 0.7575
4 Hg 0.4213 0.3671 0.2575
5 Hg 0.5787 0.6329 0.7425
6 Hg 0.5787 0.8671 0.2425
7 Cl 0.2153 0.6286 0.9528
8 Cl 0.2153 0.8714 0.4528
9 Cl 0.7847 0.1286 0.5472
10 Cl 0.7847 0.3714 0.0472
11 O 0.3282 0.1057 0.0603
12 O 0.3282 0.3943 0.5603
13 O 0.6718 0.6057 0.4397
14 O 0.6718 0.8943 0.9397

Output
Space-group type: No. 14
Formation energy (no corrections) (meV per atom): -465



[11]
# BaMgBiF7

A crystal of BaMgBiF7 relaxed with PBEsol (SCAN, the Alexandria database).

Lattice parameters (Å, degrees): 5.6153 10.8136 9.6070 90.00 93.82 90.00
Fractional coordinates of all 40 atoms:
1 Ba 0.2490 0.1538 0.0284
2 Ba 0.2490 0.3462 0.5284
3 Ba 0.7510 0.6538 0.4716
4 Ba 0.7510 0.8462 0.9716
5 Mg 0.2095 0.6496 0.7920
6 Mg 0.2095 0.8504 0.2920
7 Mg 0.7905 0.1496 0.7080
8 Mg 0.7905 0.3504 0.2080
9 Bi 0.2732 0.5772 0.1343
10 Bi 0.2732 0.9228 0.6343
11 Bi 0.7268 0.0772 0.3657
12 Bi 0.7268 0.4228 0.8657
13 F 0.0040 0.7075 0.2255
14 F 0.0040 0.7925 0.7255
15 F 0.0718 0.1128 0.5885
16 F 0.0718 0.3872 0.0885
17 F 0.0902 0.5512 0.6368
18 F 0.0902 0.9488 0.1368
19 F 0.3200 0.7309 0.9716
20 F 0.3200 0.7691 0.4716
21 F 0.3529 0.0008 0.3878
22 F 0.3529 0.4992 0.8878
23 F 0.3986 0.5146 0.3479
24 F 0.3986 0.9854 0.8479
25 F 0.4805 0.7463 0.2264
26 F 0.4805 0.7537 0.7264
27 F 0.5195 0.2463 0.2736
28 F 0.5195 0.2537 0.7736
29 F 0.6014 0.0146 0.1521
30 F 0.6014 0.4854 0.6521
31 F 0.6471 0.5008 0.1122
32 F 0.6471 0.9992 0.6122
33 F 0.6800 0.2309 0.5284
34 F 0.6800 0.2691 0.0284
35 F 0.9098 0.0512 0.8632
36 F 0.9098 0.4488 0.3632
37 F 0.9282 0.6128 0.9115
38 F 0.9282 0.8872 0.4115
39 F 0.9960 0.2075 0.2745
40 F 0.9960 0.2925 0.7745

Output
Space-group type: No. 14
Formation energy (no corrections) (meV per atom): -3340



[12]
# Zr2TeIr

A crystal of Zr2TeIr relaxed with PBEsol (SCAN, the Alexandria database).

Lattice parameters (Å, degrees): 4.0588 3.7547 10.6333 90.00 90.00 90.00
Fractional coordinates of all 8 atoms:
1 Zr 0.0000 0.0000 0.0000
2 Zr 0.0000 0.5000 0.5000
3 Zr 0.5000 0.0000 0.3057
4 Zr 0.5000 0.5000 0.8057
5 Te 0.5000 0.0000 0.5814
6 Te 0.5000 0.5000 0.0814
7 Ir 0.0000 0.0000 0.7538
8 Ir 0.0000 0.5000 0.2538

Output
Space-group type: No. 38
Formation energy (no corrections) (meV per atom): -773



[13]
# RbHg2Te2

A crystal of RbHg2Te2 relaxed with PBEsol (SCAN, the Alexandria database).

Lattice parameters (Å, degrees): 5.0406 5.0406 13.5679 90.00 90.00 90.00
Fractional coordinates of all 10 atoms:
1 Rb 0.0000 0.0000 0.0000
2 Rb 0.5000 0.5000 0.5000
3 Hg 0.0000 0.5000 0.2500
4 Hg 0.0000 0.5000 0.7500
5 Hg 0.5000 0.0000 0.2500
6 Hg 0.5000 0.0000 0.7500
7 Te 0.0000 0.0000 0.3640
8 Te 0.0000 0.0000 0.6360
9 Te 0.5000 0.5000 0.1360
10 Te 0.5000 0.5000 0.8640

Output
Space-group type: No. 139
Formation energy (no corrections) (meV per atom): -409
ΔE to the lowest computed polymorph (meV/atom): 0



[14]
# Sr2Se3

A crystal of Sr2Se3 relaxed with PBEsol (SCAN, the Alexandria database).

Lattice parameters (Å, degrees): 5.2681 5.2681 6.1993 90.00 90.00 120.00
Fractional coordinates of all 5 atoms:
1 Sr 0.3333 0.6667 0.2769
2 Sr 0.6667 0.3333 0.7231
3 Se 0.0000 0.0000 0.5000
4 Se 0.3333 0.6667 0.7833
5 Se 0.6667 0.3333 0.2167

Output
Space-group type: No. 164
Formation energy (no corrections) (meV per atom): -1467



[15]
# KCaH6N3

A crystal of KCaH6N3 relaxed with PBEsol (SCAN, the Alexandria database).

Lattice parameters (Å, degrees): 6.5055 11.4253 6.5970 90.00 107.35 90.00
Fractional coordinates of all 44 atoms:
1 K 0.2492 0.0859 0.1172
2 K 0.2492 0.4141 0.6172
3 K 0.7508 0.5859 0.3828
4 K 0.7508 0.9141 0.8828
5 Ca 0.3356 0.7373 0.5809
6 Ca 0.3356 0.7627 0.0809
7 Ca 0.6644 0.2373 0.9191
8 Ca 0.6644 0.2627 0.4191
9 H 0.0379 0.5933 0.8276
10 H 0.0379 0.9067 0.3276
11 H 0.0585 0.2153 0.7860
12 H 0.0585 0.2847 0.2860
13 H 0.1370 0.5922 0.2196
14 H 0.1370 0.9078 0.7196
15 H 0.2437 0.1648 0.5749
16 H 0.2437 0.3352 0.0749
17 H 0.3397 0.5057 0.2702
18 H 0.3397 0.9943 0.7702
19 H 0.4425 0.0838 0.5623
20 H 0.4425 0.4162 0.0623
21 H 0.5575 0.5838 0.9377
22 H 0.5575 0.9162 0.4377
23 H 0.6603 0.0057 0.2298
24 H 0.6603 0.4943 0.7298
25 H 0.7563 0.6648 0.9251
26 H 0.7563 0.8352 0.4251
27 H 0.8630 0.0922 0.2804
28 H 0.8630 0.4078 0.7804
29 H 0.9415 0.7153 0.7140
30 H 0.9415 0.7847 0.2140
31 H 0.9621 0.0933 0.6724
32 H 0.9621 0.4067 0.1724
33 N 0.0826 0.6674 0.7620
34 N 0.0826 0.8326 0.2620
35 N 0.2976 0.5883 0.3077
36 N 0.2976 0.9117 0.8077
37 N 0.4009 0.1705 0.5713
38 N 0.4009 0.3295 0.0713
39 N 0.5991 0.6705 0.9287
40 N 0.5991 0.8295 0.4287
41 N 0.7024 0.0883 0.1923
42 N 0.7024 0.4117 0.6923
43 N 0.9174 0.1674 0.7380
44 N 0.9174 0.3326 0.2380

Output
Space-group type: No. 14



[16]
# Ca2CdPd2

A crystal of Ca2CdPd2 relaxed with PBEsol (SCAN, the Alexandria database).

Lattice parameters (Å, degrees): 4.4505 5.8125 8.4687 90.00 90.00 90.00
Fractional coordinates of all 10 atoms:
1 Ca 0.0000 0.0000 0.2018
2 Ca 0.0000 0.0000 0.7982
3 Ca 0.5000 0.5000 0.2982
4 Ca 0.5000 0.5000 0.7018
5 Cd 0.0000 0.5000 0.0000
6 Cd 0.5000 0.0000 0.5000
7 Pd 0.0000 0.2703 0.5000
8 Pd 0.0000 0.7297 0.5000
9 Pd 0.5000 0.2297 0.0000
10 Pd 0.5000 0.7703 0.0000

Output
Space-group type: No. 71
E_form (eV/atom): -0.707



[17]
# SrCuIr2

A crystal of SrCuIr2 relaxed with PBEsol (SCAN, the Alexandria database).

Lattice parameters (Å, degrees): 2.8528 4.2824 5.9109 90.00 104.12 90.00
Fractional coordinates of all 4 atoms:
1 Sr 0.0000 0.0000 0.0000
2 Cu 0.6281 0.5000 0.2550
3 Ir 0.3147 0.5000 0.6226
4 Ir 0.7554 0.0000 0.5036

Output
Space-group type: No. 6
E_form (eV/atom): 0.181
ΔE to the lowest computed polymorph (meV/atom): 0



[18]
# AgAu3

A crystal of AgAu3 relaxed with PBEsol (SCAN, the Alexandria database).

Lattice parameters (Å, degrees): 5.6282 10.0106 4.7801 90.00 90.00 90.00
Fractional coordinates of all 16 atoms:
1 Ag 0.0000 0.0823 0.2500
2 Ag 0.0000 0.9177 0.7500
3 Ag 0.5000 0.4177 0.7500
4 Ag 0.5000 0.5823 0.2500
5 Au 0.0000 0.4176 0.7500
6 Au 0.0000 0.5824 0.2500
7 Au 0.2493 0.1672 0.7500
8 Au 0.2493 0.8328 0.2500
9 Au 0.2507 0.3328 0.2500
10 Au 0.2507 0.6672 0.7500
11 Au 0.5000 0.0824 0.2500
12 Au 0.5000 0.9176 0.7500
13 Au 0.7493 0.3328 0.2500
14 Au 0.7493 0.6672 0.7500
15 Au 0.7507 0.1672 0.7500
16 Au 0.7507 0.8328 0.2500

Output
Space-group type: No. 63
E_form (eV/atom): -0.044
ΔE to the lowest computed polymorph (meV/atom): 23



[19]
# CaLa2Pb2

A crystal of CaLa2Pb2 relaxed with PBEsol (SCAN, the Alexandria database).

Lattice parameters (Å, degrees): 8.2778 8.2778 4.7019 90.00 90.00 90.00
Fractional coordinates of all 10 atoms:
1 Ca 0.0000 0.0000 0.0000
2 Ca 0.5000 0.5000 0.0000
3 La 0.1737 0.3263 0.5000
4 La 0.3263 0.8263 0.5000
5 La 0.6737 0.1737 0.5000
6 La 0.8263 0.6737 0.5000
7 Pb 0.1284 0.6284 0.0000
8 Pb 0.3716 0.1284 0.0000
9 Pb 0.6284 0.8716 0.0000
10 Pb 0.8716 0.3716 0.0000

Output
Space-group type: No. 127
E_form (eV/atom): -0.849



[20]
# Ga3PtN

A crystal of Ga3PtN relaxed with PBEsol (SCAN, the Alexandria database).

Lattice parameters (Å, degrees): 4.7248 4.7248 4.7248 90.00 90.00 90.00
Fractional coordinates of all 5 atoms:
1 Ga 0.0000 0.0000 0.5000
2 Ga 0.0000 0.5000 0.0000
3 Ga 0.5000 0.0000 0.0000
4 Pt 0.0000 0.0000 0.0000
5 N 0.5000 0.5000 0.5000

Output
Space-group type: No. 221
Formation energy (no corrections) (meV per atom): 491



[21]
# Tl2AsW

A crystal of Tl2AsW relaxed with PBEsol (SCAN, the Alexandria database).

Lattice parameters (Å, degrees): 3.2701 4.9938 10.0335 90.00 90.00 90.00
Fractional coordinates of all 8 atoms:
1 Tl 0.0000 0.0000 0.2416
2 Tl 0.0000 0.0000 0.7584
3 Tl 0.5000 0.5000 0.2416
4 Tl 0.5000 0.5000 0.7584
5 As 0.0000 0.5000 0.5000
6 As 0.5000 0.0000 0.5000
7 W 0.0000 0.5000 0.0000
8 W 0.5000 0.0000 0.0000

Output
Space-group type: No. 65
E_form (eV/atom): 0.977
ΔE to the lowest computed polymorph (meV/atom): 502



[22]
# Ce2Fe2Se2O3

A crystal of Ce2Fe2Se2O3 relaxed with PBEsol (SCAN, the Alexandria database).

Lattice parameters (Å, degrees): 8.9581 8.9581 8.9581 154.45 154.45 36.45
Fractional coordinates of all 9 atoms:
1 Ce 0.1779 0.1779 0.0000
2 Ce 0.8221 0.8221 0.0000
3 Fe 0.0000 0.5000 0.5000
4 Fe 0.5000 0.0000 0.5000
5 Se 0.4003 0.4003 0.0000
6 Se 0.5997 0.5997 0.0000
7 O 0.0000 0.0000 0.0000
8 O 0.2500 0.7500 0.5000
9 O 0.7500 0.2500 0.5000

Output
Space-group type: No. 139
Formation energy (no corrections) (meV per atom): -2187



Number 1: electronic total energy -319.1 eV for the cell shown. Number 2: electronic total energy -120.8 eV for the cell shown. Number 3: electronic total energy -580.1 eV for the cell shown. Number 4: electronic total energy -290.5 eV for the cell shown. Number 5: electronic total energy -111.1 eV for the cell shown. Number 6: electronic total energy -106.4 eV for the cell shown. Number 7: electronic total energy -119.5 eV for the cell shown. Number 8: electronic total energy -36.8 eV for the cell shown. Number 9: electronic total energy -53.4 eV for the cell shown. Number 10: electronic total energy -472.3 eV for the cell shown. Number 11: electronic total energy -725.1 eV for the cell shown. Number 12: electronic total energy -345.7 eV for the cell shown. Number 13: electronic total energy -467.2 eV for the cell shown. Number 14: electronic total energy -112.1 eV for the cell shown. Number 15: electronic total energy -293.4 eV for the cell shown. Number 16: electronic total energy -237.6 eV for the cell shown. Number 17: electronic total energy -179.0 eV for the cell shown. Number 18: electronic total energy -956.1 eV for the cell shown. Number 19: electronic total energy -503.4 eV for the cell shown. Number 20: electronic total energy -126.1 eV for the cell shown. Number 21: electronic total energy -461.4 eV for the cell shown. Number 22: electronic total energy -203.9 eV for the cell shown.